Model a:
First-principles (PBE) data for a geometry-optimized TiNb2W2 structure, as listed in Alexandria via LeMat-Bulk.

Lattice parameters (Å, degrees): 6.9659 6.9659 6.9659 142.13 109.07 83.33
Positions (direct):
Ti (0.4155, 0.1655, 0.2500)
Ti (0.5845, 0.8345, 0.7500)
Nb (0.1264, 0.6582, 0.4682)
Nb (0.3100, 0.3418, 0.9682)
Nb (0.6900, 0.6582, 0.0318)
Nb (0.8736, 0.3418, 0.5318)
W (0.1215, 0.8715, 0.2500)
W (0.2769, 0.5269, 0.7500)
W (0.7231, 0.4731, 0.2500)
W (0.8785, 0.1285, 0.7500)

---

Model b:
First-principles (PBE) data for a geometry-optimized TiNb2W2 structure, as listed in Alexandria via LeMat-Bulk.

Lattice parameters (Å, degrees): 7.3349 7.3349 4.9955 90.00 90.00 137.34
Positions (direct):
Ti (0.0000, 0.0000, 0.0000)
Ti (0.0000, 0.0000, 0.5000)
Nb (0.1848, 0.8152, 0.7500)
Nb (0.4343, 0.5657, 0.2500)
Nb (0.5657, 0.4343, 0.7500)
Nb (0.8152, 0.1848, 0.2500)
W (0.1085, 0.3999, 0.7500)
W (0.3999, 0.1085, 0.2500)
W (0.6001, 0.8915, 0.7500)
W (0.8915, 0.6001, 0.2500)

---

Model c:
First-principles (PBE) data for a geometry-optimized TiNb2W2 structure, as listed in Alexandria via LeMat-Bulk.

Lattice parameters (Å, degrees): 4.1580 4.1580 11.4631 90.00 90.00 90.00
Positions (direct):
Ti (0.0000, 0.0000, 0.0000)
Ti (0.5000, 0.5000, 0.5000)
Nb (0.0000, 0.5000, 0.2500)
Nb (0.0000, 0.5000, 0.7500)
Nb (0.5000, 0.0000, 0.2500)
Nb (0.5000, 0.0000, 0.7500)
W (0.0000, 0.0000, 0.3928)
W (0.0000, 0.0000, 0.6072)
W (0.5000, 0.5000, 0.1072)
W (0.5000, 0.5000, 0.8928)

---

model b (135 meV/atom below the next structure)

---

Model a:
First-principles (PBE) data for a geometry-optimized TiNbW structure, as listed in Alexandria via LeMat-Bulk.

Lattice parameters (Å, degrees): 14.8794 2.6588 2.7461 90.00 100.47 90.00
Positions (direct):
Ti (0.0000, 0.0000, 0.0000)
Ti (0.5000, 0.5000, 0.0000)
Nb (0.1733, 0.0000, 0.6706)
Nb (0.6733, 0.5000, 0.6706)
W (0.3471, 0.0000, 0.3486)
W (0.8471, 0.5000, 0.3486)

---

Model b:
First-principles (PBE) data for a geometry-optimized TiNbW structure, as listed in Alexandria via LeMat-Bulk.

Lattice parameters (Å, degrees): 2.7921 5.3776 7.0808 77.78 82.25 79.91
Positions (direct):
Ti (0.2258, 0.2332, 0.0013)
Ti (0.7742, 0.7668, 0.9987)
Nb (0.4142, 0.4161, 0.3314)
Nb (0.5858, 0.5839, 0.6686)
W (0.0833, 0.0830, 0.6652)
W (0.9167, 0.9170, 0.3348)

---

Model c:
First-principles (PBE) data for a geometry-optimized TiNbW structure, as listed in Alexandria via LeMat-Bulk.

Lattice parameters (Å, degrees): 4.5660 4.5660 2.8098 90.00 90.00 120.00
Positions (direct):
Ti (0.0000, 0.0000, 0.0000)
Nb (0.3333, 0.6667, 0.3628)
W (0.6667, 0.3333, 0.6551)

---

model c (25 meV/atom below the next structure)

---

Model a:
First-principles (PBE) data for a geometry-optimized Ti2NbW6 structure, as listed in Alexandria via LeMat-Bulk.

Lattice parameters (Å, degrees): 5.3074 4.4551 6.8441 90.00 104.04 90.00
Positions (direct):
Ti (0.1920, 0.0000, 0.3802)
Ti (0.8080, 0.0000, 0.6198)
Nb (0.5000, 0.5000, 0.5000)
W (0.1072, 0.5000, 0.7031)
W (0.2879, 0.5000, 0.1016)
W (0.3931, 0.0000, 0.8084)
W (0.6069, 0.0000, 0.1916)
W (0.7121, 0.5000, 0.8984)
W (0.8928, 0.5000, 0.2969)

---

Model b:
First-principles (PBE) data for a geometry-optimized Ti2NbW6 structure, as listed in Alexandria via LeMat-Bulk.

Lattice parameters (Å, degrees): 2.8003 2.8003 22.3968 90.00 90.00 120.00
Positions (direct):
Ti (0.0000, 0.0000, 0.1673)
Ti (0.0000, 0.0000, 0.8327)
Nb (0.6667, 0.3333, 0.5000)
W (0.0000, 0.0000, 0.3855)
W (0.0000, 0.0000, 0.6145)
W (0.6667, 0.3333, 0.0577)
W (0.6667, 0.3333, 0.2758)
W (0.6667, 0.3333, 0.7242)
W (0.6667, 0.3333, 0.9423)

---

model a (171 meV/atom below the next structure)

---

Model a:
First-principles (PBE) data for a geometry-optimized TiNb2W structure, as listed in Alexandria via LeMat-Bulk.

Lattice parameters (Å, degrees): 6.5071 6.5071 6.5071 90.00 90.00 90.00
Positions (direct):
Ti (0.0000, 0.0000, 0.0000)
Ti (0.0000, 0.5000, 0.5000)
Ti (0.5000, 0.0000, 0.5000)
Ti (0.5000, 0.5000, 0.0000)
Nb (0.2500, 0.2500, 0.2500)
Nb (0.2500, 0.2500, 0.7500)
Nb (0.2500, 0.7500, 0.2500)
Nb (0.2500, 0.7500, 0.7500)
Nb (0.7500, 0.2500, 0.2500)
Nb (0.7500, 0.2500, 0.7500)
Nb (0.7500, 0.7500, 0.2500)
Nb (0.7500, 0.7500, 0.7500)
W (0.0000, 0.0000, 0.5000)
W (0.0000, 0.5000, 0.0000)
W (0.5000, 0.0000, 0.0000)
W (0.5000, 0.5000, 0.5000)

---

Model b:
First-principles (PBE) data for a geometry-optimized TiNb2W structure, as listed in Alexandria via LeMat-Bulk.

Lattice parameters (Å, degrees): 4.5984 4.5984 3.2542 90.00 90.00 90.00
Positions (direct):
Ti (0.0000, 0.0000, 0.0000)
Nb (0.0000, 0.5000, 0.5000)
Nb (0.5000, 0.0000, 0.5000)
W (0.5000, 0.5000, 0.0000)

---

Model c:
First-principles (PBE) data for a geometry-optimized TiNb2W structure, as listed in Alexandria via LeMat-Bulk.

Lattice parameters (Å, degrees): 7.2765 7.2765 5.5665 90.00 90.00 90.00
Positions (direct):
Ti (0.0000, 0.0000, 0.0000)
Ti (0.0000, 0.5000, 0.2500)
Ti (0.5000, 0.0000, 0.7500)
Ti (0.5000, 0.5000, 0.5000)
Nb (0.2409, 0.7500, 0.6250)
Nb (0.2500, 0.2409, 0.3750)
Nb (0.2500, 0.2591, 0.8750)
Nb (0.2591, 0.7500, 0.1250)
Nb (0.7409, 0.2500, 0.1250)
Nb (0.7500, 0.7409, 0.8750)
Nb (0.7500, 0.7591, 0.3750)
Nb (0.7591, 0.2500, 0.6250)
W (0.0000, 0.0000, 0.5000)
W (0.0000, 0.5000, 0.7500)
W (0.5000, 0.0000, 0.2500)
W (0.5000, 0.5000, 0.0000)

---

model a (10 meV/atom below the next structure)

---

Model a:
First-principles (PBE) data for a geometry-optimized TiNbW4 structure, as listed in Alexandria via LeMat-Bulk.

Lattice parameters (Å, degrees): 5.3015 5.3015 5.3015 60.00 60.00 60.00
Positions (direct):
Ti (0.0000, 0.0000, 0.0000)
Nb (0.2500, 0.2500, 0.2500)
W (0.1249, 0.6250, 0.6250)
W (0.6250, 0.1249, 0.6250)
W (0.6250, 0.6250, 0.1249)
W (0.6250, 0.6250, 0.6250)

---

Model b:
First-principles (PBE) data for a geometry-optimized TiNbW4 structure, as listed in Alexandria via LeMat-Bulk.

Lattice parameters (Å, degrees): 4.5003 9.6901 4.5178 90.00 90.00 90.00
Positions (direct):
Ti (0.0000, 0.0000, 0.0000)
Ti (0.5000, 0.5000, 0.0000)
Nb (0.0000, 0.5000, 0.5000)
Nb (0.5000, 0.0000, 0.5000)
W (0.0000, 0.1700, 0.5000)
W (0.0000, 0.3274, 0.0000)
W (0.0000, 0.6726, 0.0000)
W (0.0000, 0.8300, 0.5000)
W (0.5000, 0.1726, 0.0000)
W (0.5000, 0.3300, 0.5000)
W (0.5000, 0.6700, 0.5000)
W (0.5000, 0.8274, 0.0000)

---

model b (118 meV/atom below the next structure)

---

Model a:
First-principles (PBE) data for a geometry-optimized Ti6Nb2W structure, as listed in Alexandria via LeMat-Bulk.

Lattice parameters (Å, degrees): 9.4293 9.4293 9.4293 150.60 130.68 58.47
Positions (direct):
Ti (0.0001, 0.3581, 0.6971)
Ti (0.9999, 0.6419, 0.3029)
Ti (0.0880, 0.0880, 0.0000)
Ti (0.1610, 0.8581, 0.3580)
Ti (0.3390, 0.6970, 0.6971)
Ti (0.4120, 0.4120, 0.0000)
Ti (0.4999, 0.1970, 0.3580)
Ti (0.5001, 0.8030, 0.6420)
Ti (0.5880, 0.5880, 0.0000)
Ti (0.6610, 0.3030, 0.3029)
Ti (0.8390, 0.1419, 0.6420)
Ti (0.9120, 0.9120, 0.0000)
Nb (0.1670, 0.4263, 0.5933)
Nb (0.3330, 0.9263, 0.2593)
Nb (0.6670, 0.0737, 0.7407)
Nb (0.8330, 0.5737, 0.4067)
W (0.2500, 0.2500, 0.0000)
W (0.7500, 0.7500, 0.0000)

---

Model b:
First-principles (PBE) data for a geometry-optimized Ti6Nb2W structure, as listed in Alexandria via LeMat-Bulk.

Lattice parameters (Å, degrees): 7.2625 7.2625 9.6103 123.78 123.78 22.01
Positions (direct):
Ti (0.0515, 0.0515, 0.2660)
Ti (0.2286, 0.2286, 0.6108)
Ti (0.3888, 0.3888, 0.9461)
Ti (0.6112, 0.6112, 0.0539)
Ti (0.7714, 0.7714, 0.3892)
Ti (0.9485, 0.9485, 0.7340)
Nb (0.3348, 0.3348, 0.1755)
Nb (0.6652, 0.6652, 0.8245)
W (0.0000, 0.0000, 0.5000)

---

model a (49 meV/atom below the next structure)

---

Model a:
First-principles (PBE) data for a geometry-optimized Ti2Nb6W structure, as listed in Alexandria via LeMat-Bulk.

Lattice parameters (Å, degrees): 7.6509 7.6509 4.4150 106.70 106.70 47.96
Positions (direct):
Ti (0.1665, 0.1665, 0.1666)
Ti (0.8335, 0.8335, 0.8334)
Nb (0.0811, 0.5826, 0.3317)
Nb (0.2510, 0.7490, 0.0000)
Nb (0.4174, 0.9189, 0.6683)
Nb (0.5826, 0.0811, 0.3317)
Nb (0.7490, 0.2510, 0.0000)
Nb (0.9189, 0.4174, 0.6683)
W (0.5000, 0.5000, 0.5000)

---

Model b:
First-principles (PBE) data for a geometry-optimized Ti2Nb6W structure, as listed in Alexandria via LeMat-Bulk.

Lattice parameters (Å, degrees): 4.6514 5.4235 7.1467 110.20 108.53 90.57
Positions (direct):
Ti (0.1093, 0.0413, 0.2183)
Ti (0.8907, 0.9587, 0.7817)
Nb (0.2205, 0.6182, 0.4423)
Nb (0.3350, 0.1709, 0.6676)
Nb (0.4475, 0.7234, 0.8968)
Nb (0.5525, 0.2766, 0.1032)
Nb (0.6650, 0.8291, 0.3324)
Nb (0.7795, 0.3818, 0.5577)
W (0.0000, 0.5000, 0.0000)

---

model b (807 meV/atom below the next structure)

---

Model a:
First-principles (PBE) data for a geometry-optimized YTi2Nb2 structure, as listed in Alexandria via LeMat-Bulk.

Lattice parameters (Å, degrees): 7.9816 7.9816 3.2104 90.00 90.00 90.00
Positions (direct):
Y (0.0000, 0.0000, 0.0000)
Y (0.5000, 0.5000, 0.0000)
Ti (0.1401, 0.3599, 0.5000)
Ti (0.3599, 0.8599, 0.5000)
Ti (0.6401, 0.1401, 0.5000)
Ti (0.8599, 0.6401, 0.5000)
Nb (0.1434, 0.6434, 0.0000)
Nb (0.3566, 0.1434, 0.0000)
Nb (0.6434, 0.8566, 0.0000)
Nb (0.8566, 0.3566, 0.0000)

---

Model b:
First-principles (PBE) data for a geometry-optimized YTi2Nb2 structure, as listed in Alexandria via LeMat-Bulk.

Lattice parameters (Å, degrees): 7.7085 7.7085 3.4330 90.00 90.00 90.00
Positions (direct):
Y (0.0000, 0.0000, 0.0000)
Y (0.5000, 0.5000, 0.0000)
Ti (0.1262, 0.3738, 0.0000)
Ti (0.3738, 0.8738, 0.0000)
Ti (0.6262, 0.1262, 0.0000)
Ti (0.8738, 0.6262, 0.0000)
Nb (0.1608, 0.6608, 0.5000)
Nb (0.3392, 0.1608, 0.5000)
Nb (0.6608, 0.8392, 0.5000)
Nb (0.8392, 0.3392, 0.5000)

---

model b (32 meV/atom below the next structure)